[1]
First-principles (GGA-PBEsol) data for a relaxed structure of Tb2Zr2O7, as listed in Alexandria.

Computed properties:
SG: No. 92
Total DFT energy (no corrections) in eV/cell: -411.333
Total magnetization in μB per atom: 0.0000

Cell lengths 7.2290, 7.2290, 12.5263 Å; angles 90.00, 90.00, 90.00 degrees
Element x y z (fractional)
Tb (0.1415, 0.6229, 0.1345)
Tb (0.1229, 0.3585, 0.8845)
Tb (0.3771, 0.8585, 0.3655)
Tb (0.3585, 0.1229, 0.1155)
Tb (0.6415, 0.8771, 0.6155)
Tb (0.6229, 0.1415, 0.8655)
Tb (0.8771, 0.6415, 0.3845)
Tb (0.8585, 0.3771, 0.6345)
Zr (0.1025, 0.8738, 0.5950)
Zr (0.1262, 0.8975, 0.9050)
Zr (0.3738, 0.3975, 0.3450)
Zr (0.3975, 0.3738, 0.6550)
Zr (0.6025, 0.6262, 0.1550)
Zr (0.6262, 0.6025, 0.8450)
Zr (0.8738, 0.1025, 0.4050)
Zr (0.8975, 0.1262, 0.0950)
O (0.0730, 0.9083, 0.4155)
O (0.0848, 0.3228, 0.0740)
O (0.0917, 0.9270, 0.0845)
O (0.1515, 0.6354, 0.9543)
O (0.1772, 0.5848, 0.3240)
O (0.1354, 0.3485, 0.7043)
O (0.1489, 0.8511, 0.7500)
O (0.3511, 0.3511, 0.5000)
O (0.3646, 0.8485, 0.5457)
O (0.3228, 0.0848, 0.9260)
O (0.3485, 0.1354, 0.2957)
O (0.4083, 0.4270, 0.1655)
O (0.4152, 0.8228, 0.1760)
O (0.4270, 0.4083, 0.8345)
O (0.5730, 0.5917, 0.3345)
O (0.5848, 0.1772, 0.6760)
O (0.5917, 0.5730, 0.6655)
O (0.6515, 0.8646, 0.7957)
O (0.6772, 0.9152, 0.4260)
O (0.6354, 0.1515, 0.0457)
O (0.6489, 0.6489, 0.0000)
O (0.8511, 0.1489, 0.2500)
O (0.8646, 0.6515, 0.2043)
O (0.8228, 0.4152, 0.8240)
O (0.8485, 0.3646, 0.4543)
O (0.9083, 0.0730, 0.5845)
O (0.9152, 0.6772, 0.5740)
O (0.9270, 0.0917, 0.9155)

=====

[2]
First-principles (GGA-PBEsol) data for a relaxed structure of Tb2Zr2O7, as listed in Alexandria.

Computed properties:
SG: No. 227
Total DFT energy (no corrections) in eV/cell: -207.468
Total magnetization in μB per atom: 0.0000

Cell lengths 7.3894, 7.3894, 7.3894 Å; angles 60.00, 60.00, 60.00 degrees
Element x y z (fractional)
Tb (0.6250, 0.1250, 0.1250)
Tb (0.1250, 0.1250, 0.1250)
Tb (0.1250, 0.1250, 0.6250)
Tb (0.1250, 0.6250, 0.1250)
Zr (0.6250, 0.1250, 0.6250)
Zr (0.6250, 0.6250, 0.1250)
Zr (0.6250, 0.6250, 0.6250)
Zr (0.1250, 0.6250, 0.6250)
O (0.0000, 0.0000, 0.0000)
O (0.2500, 0.2500, 0.2500)
O (0.7159, 0.2841, 0.2841)
O (0.2841, 0.2841, 0.7159)
O (0.7159, 0.2841, 0.7159)
O (0.7159, 0.7159, 0.2841)
O (0.2841, 0.7159, 0.2841)
O (0.9659, 0.5341, 0.5341)
O (0.2841, 0.7159, 0.7159)
O (0.9659, 0.5341, 0.9659)
O (0.5341, 0.9659, 0.5341)
O (0.5341, 0.5341, 0.9659)
O (0.9659, 0.9659, 0.5341)
O (0.5341, 0.9659, 0.9659)

=====

[3]
First-principles (GGA-PBEsol) data for a relaxed structure of TcTe2O, as listed in Alexandria.

Computed properties:
SG: No. 166
Total DFT energy (no corrections) in eV/cell: -23.870
Total magnetization in μB per atom: 0.0000

Cell lengths 4.0282, 4.0282, 6.8751 Å; angles 72.96, 72.96, 60.00 degrees
Element x y z (fractional)
Te (0.8978, 0.8978, 0.3067)
Te (0.1022, 0.1022, 0.6933)
Tc (0.5000, 0.5000, 0.5000)
O (0.0000, 0.0000, 0.0000)

=====

[4]
First-principles (GGA-PBEsol) data for a relaxed structure of TlTcO3, as listed in Alexandria.

Computed properties:
SG: No. 221
Total DFT energy (no corrections) in eV/cell: -35.585
Total magnetization in μB per atom: 0.0003

Cell lengths 3.9180, 3.9180, 3.9180 Å; angles 90.00, 90.00, 90.00 degrees
Element x y z (fractional)
Tl (0.5000, 0.5000, 0.5000)
Tc (0.0000, 0.0000, 0.0000)
O (0.0000, 0.5000, 0.0000)
O (0.0000, 0.0000, 0.5000)
O (0.5000, 0.0000, 0.0000)

=====

[5]
First-principles (GGA-PBEsol) data for a relaxed structure of TlTc3O, as listed in Alexandria.

Computed properties:
SG: No. 221
Total DFT energy (no corrections) in eV/cell: -25.243
Total magnetization in μB per atom: 2.2719

Cell lengths 5.1029, 5.1029, 5.1029 Å; angles 90.00, 90.00, 90.00 degrees
Each line ends with the local moment (μB).
Element x y z (fractional)
Tl (0.0000, 0.0000, 0.0000)  -0.03
Tc (0.0000, 0.5000, 0.0000)  3.12
Tc (0.0000, 0.0000, 0.5000)  3.12
Tc (0.5000, 0.0000, 0.0000)  3.12
O (0.5000, 0.5000, 0.5000)  0.91

=====

[6]
First-principles (GGA-PBEsol) data for a relaxed structure of YTc3O, as listed in Alexandria.

Computed properties:
SG: No. 221
Total DFT energy (no corrections) in eV/cell: -30.000
Total magnetization in μB per atom: 1.1152

Cell lengths 4.7240, 4.7240, 4.7240 Å; angles 90.00, 90.00, 90.00 degrees
Each line ends with the local moment (μB).
Element x y z (fractional)
Y (0.0000, 0.0000, 0.0000)  0.05
Tc (0.0000, 0.5000, 0.0000)  1.43
Tc (0.0000, 0.0000, 0.5000)  1.43
Tc (0.5000, 0.0000, 0.0000)  1.43
O (0.5000, 0.5000, 0.5000)  0.96

=====

[7]
First-principles (GGA-PBEsol) data for a relaxed structure of ZrTcO3, as listed in Alexandria.

Computed properties:
SG: No. 221
Total DFT energy (no corrections) in eV/cell: -43.278
Total magnetization in μB per atom: 1.0000

Cell lengths 4.0891, 4.0891, 4.0891 Å; angles 90.00, 90.00, 90.00 degrees
Each line ends with the local moment (μB).
Element x y z (fractional)
O (0.0000, 0.5000, 0.0000)  0.12
O (0.0000, 0.0000, 0.5000)  0.12
O (0.5000, 0.0000, 0.0000)  0.12
Tc (0.5000, 0.5000, 0.5000)  4.25
Zr (0.0000, 0.0000, 0.0000)  -0.01

=====

[8]
First-principles (GGA-PBEsol) data for a relaxed structure of TeO3, as listed in Alexandria.

Computed properties:
SG: No. 33
Total DFT energy (no corrections) in eV/cell: -180.157
Total magnetization in μB per atom: 0.0000
Energy above the lowest structure with this stoichiometry in kcal/mol of atoms: 1.09

Cell lengths 5.0748, 8.0097, 9.6162 Å; angles 90.00, 90.00, 90.00 degrees
Element x y z (fractional)
Te (0.8084, 0.6197, 0.0899)
Te (0.3084, 0.3803, 0.9101)
Te (0.3084, 0.1197, 0.4101)
Te (0.8084, 0.8803, 0.5899)
Te (0.0183, 0.5286, 0.3745)
Te (0.5183, 0.4714, 0.6255)
Te (0.5183, 0.0286, 0.1255)
Te (0.0183, 0.9714, 0.8745)
O (0.9182, 0.7529, 0.4326)
O (0.4182, 0.2471, 0.5674)
O (0.4182, 0.2529, 0.0674)
O (0.9182, 0.7471, 0.9326)
O (0.3460, 0.5776, 0.4705)
O (0.8460, 0.4224, 0.5295)
O (0.8460, 0.0776, 0.0295)
O (0.3460, 0.9224, 0.9705)
O (0.1332, 0.6415, 0.2062)
O (0.6332, 0.3585, 0.7938)
O (0.6332, 0.1415, 0.2938)
O (0.1332, 0.8585, 0.7062)
O (0.6499, 0.6872, 0.6814)
O (0.1499, 0.3128, 0.3186)
O (0.1499, 0.1872, 0.8186)
O (0.6499, 0.8128, 0.1814)
O (0.4761, 0.5720, 0.9995)
O (0.9761, 0.4280, 0.0005)
O (0.9761, 0.0720, 0.5005)
O (0.4761, 0.9280, 0.4995)
O (0.7065, 0.4941, 0.2557)
O (0.2065, 0.5059, 0.7443)
O (0.2065, 0.9941, 0.2443)
O (0.7065, 0.0059, 0.7557)